DFT (PBE with a Hubbard U) results for a relaxed structure of Pr4CoCl2O.

Calculated values
The calculation puts the final energy at -5.408 eV per atom.

abc: 6.7515 3.7886 7.8083
angles: 90.00 108.45 90.00
Atoms (fractional coordinates):
Pr 0.2102 0.0000 0.1939
Pr 0.2567 0.5000 0.7980
Pr 0.7433 0.5000 0.2020
Pr 0.7898 0.0000 0.8061
Co 0.5000 0.0000 0.0000
Cl 0.0000 0.0000 0.5000
Cl 0.5000 0.5000 0.5000
O 0.0000 0.5000 0.0000